1.
A geometry-optimized SrMgAgSn2 structure. Source: the Open Quantum Materials Database, functional GGA-PBE.

a = 6.941 Å, b = 6.941 Å, c = 6.941 Å
α = 140.74°, β = 140.74°, γ = 56.73°
Element x y z (fractional)
Mg 0.750 0.250 0.500
Sn 0.115 0.115 0.000
Sn 0.885 0.885 0.000
Sr 0.500 0.500 0.000
Ag 0.250 0.750 0.500

Calculated total energy = -0.2374 Ry per atom

2.
A geometry-optimized MgTaAg structure. Source: the Open Quantum Materials Database, functional GGA-PBE.

a = 4.520 Å, b = 4.520 Å, c = 4.520 Å
α = 60.00°, β = 60.00°, γ = 60.00°
Element x y z (fractional)
Ag 0.250 0.250 0.250
Ta 0.000 0.000 0.000
Mg 0.750 0.750 0.750

Calculated total energy = -0.3136 Ry per atom
Total magnetization = 0.00 Bohr magnetons per cell

3.
A geometry-optimized TbMgAg structure. Source: the Open Quantum Materials Database, functional GGA-PBE.

a = 7.744 Å, b = 7.744 Å, c = 4.088 Å
α = 90.00°, β = 90.00°, γ = 120.00°
Element x y z (fractional)
Tb 0.588 0.588 0.500
Tb 0.000 0.412 0.500
Tb 0.412 0.000 0.500
Ag 0.000 0.000 0.500
Ag 0.333 0.667 0.000
Ag 0.667 0.333 0.000
Mg 0.247 0.247 0.000
Mg 0.000 0.753 0.000
Mg 0.753 0.000 0.000

Calculated total energy = -0.2410 Ry per atom
Total magnetization = 0.02 Bohr magnetons per cell

4.
A geometry-optimized TbMgAg4 structure. Source: the Open Quantum Materials Database, functional GGA-PBE.

a = 5.573 Å, b = 5.573 Å, c = 5.573 Å
α = 60.03°, β = 60.03°, γ = 60.03°
Element x y z (fractional)
Ag 0.374 0.876 0.374
Ag 0.374 0.374 0.876
Ag 0.374 0.374 0.374
Ag 0.876 0.374 0.374
Mg 0.001 0.001 0.001
Tb 0.750 0.750 0.750

Calculated total energy = -0.2299 Ry per atom
Total magnetization = 0.00 Bohr magnetons per cell

5.
A geometry-optimized TbMgAg structure. Source: the Open Quantum Materials Database, functional GGA-PBE.

a = 4.801 Å, b = 4.801 Å, c = 4.801 Å
α = 60.00°, β = 60.00°, γ = 60.00°
Element x y z (fractional)
Mg 0.000 0.000 0.000
Tb 0.750 0.750 0.750
Ag 0.250 0.250 0.250

Calculated total energy = -0.2013 Ry per atom
Total magnetization = 0.09 Bohr magnetons per cell

6.
A geometry-optimized TbTmMg2Ag4 structure. Source: the Open Quantum Materials Database, functional GGA-PBE.

a = 4.897 Å, b = 4.897 Å, c = 6.928 Å
α = 90.00°, β = 90.00°, γ = 90.00°
Element x y z (fractional)
Ag 0.500 0.000 0.255
Ag 0.000 0.500 0.255
Ag 0.500 0.000 0.745
Ag 0.000 0.500 0.745
Tm 0.500 0.500 0.500
Tb 0.000 0.000 0.000
Mg 0.500 0.500 0.000
Mg 0.000 0.000 0.500

Calculated total energy = -0.2385 Ry per atom
Total magnetization = 0.01 Bohr magnetons per cell

7.
A geometry-optimized YMgAgTe3 structure. Source: the Open Quantum Materials Database, functional GGA-PBE.

a = 7.419 Å, b = 7.419 Å, c = 11.309 Å
α = 90.00°, β = 90.00°, γ = 147.46°
Element x y z (fractional)
Mg 0.721 0.279 0.250
Mg 0.279 0.721 0.750
Y 0.500 0.500 0.000
Y 0.500 0.500 0.500
Te 0.151 0.849 0.067
Te 0.151 0.849 0.433
Te 0.385 0.615 0.250
Te 0.849 0.151 0.567
Te 0.615 0.385 0.750
Te 0.849 0.151 0.933
Ag 0.020 0.980 0.250
Ag 0.980 0.020 0.750

Calculated total energy = -0.3063 Ry per atom
Total magnetization = 0.00 Bohr magnetons per cell

8.
A geometry-optimized ThMgAg structure. Source: the Open Quantum Materials Database, functional GGA-PBE.

a = 4.887 Å, b = 4.887 Å, c = 4.887 Å
α = 60.00°, β = 60.00°, γ = 60.00°
Element x y z (fractional)
Mg 0.250 0.250 0.250
Th 0.750 0.750 0.750
Ag 0.000 0.000 0.000

Calculated total energy = -0.2820 Ry per atom
Total magnetization = 0.00 Bohr magnetons per cell

9.
A geometry-optimized TmMgAg structure. Source: the Open Quantum Materials Database, functional GGA-PBE.

a = 7.705 Å, b = 7.705 Å, c = 3.979 Å
α = 90.00°, β = 90.00°, γ = 120.00°
Element x y z (fractional)
Tm 0.000 0.412 0.500
Tm 0.588 0.588 0.500
Tm 0.412 0.000 0.500
Mg 0.000 0.750 0.000
Mg 0.750 0.000 0.000
Mg 0.250 0.250 0.000
Ag 0.000 0.000 0.500
Ag 0.667 0.333 0.000
Ag 0.333 0.667 0.000

Calculated total energy = -0.2365 Ry per atom
Total magnetization = 0.01 Bohr magnetons per cell

10.
A geometry-optimized TmMgAg structure. Source: the Open Quantum Materials Database, functional GGA-PBE.

a = 4.880 Å, b = 4.880 Å, c = 4.880 Å
α = 60.00°, β = 60.00°, γ = 60.00°
Element x y z (fractional)
Mg 0.750 0.750 0.750
Tm 0.000 0.000 0.000
Ag 0.250 0.250 0.250

Calculated total energy = -0.1868 Ry per atom
Total magnetization = 0.00 Bohr magnetons per cell

11.
A geometry-optimized TmMgAg2 structure. Source: the Open Quantum Materials Database, functional GGA-PBE.

a = 4.963 Å, b = 6.456 Å, c = 5.040 Å
α = 90.00°, β = 90.00°, γ = 90.00°
Element x y z (fractional)
Tm 0.500 0.500 0.212
Tm 0.000 0.000 0.788
Ag 0.000 0.751 0.289
Ag 0.500 0.749 0.711
Ag 0.000 0.249 0.289
Ag 0.500 0.251 0.711
Mg 0.000 0.500 0.765
Mg 0.500 0.000 0.235

Calculated total energy = -0.2358 Ry per atom
Total magnetization = 0.01 Bohr magnetons per cell

12.
A geometry-optimized TmMgAg2 structure. Source: the Open Quantum Materials Database, functional GGA-PBE.

a = 4.900 Å, b = 6.879 Å, c = 4.894 Å
α = 90.00°, β = 90.00°, γ = 90.00°
Element x y z (fractional)
Ag 0.500 0.750 0.751
Ag 0.000 0.250 0.249
Ag 0.000 0.750 0.249
Ag 0.500 0.250 0.751
Tm 0.000 0.000 0.749
Tm 0.500 0.500 0.251
Mg 0.500 0.000 0.250
Mg 0.000 0.500 0.750

Calculated total energy = -0.2373 Ry per atom
Total magnetization = 0.01 Bohr magnetons per cell